Record 1
# Hf3ZrSn (PBEsol, optimized geometry)
# **DFT total energy**: -7.894 eV per atom
# **Energy above the most stable polymorph in this dataset**: 0.000 eV per atom
# **Formation enthalpy at 0 K**: 1078 meV/atom
data_Hf3ZrSn
_cell_length_a 5.152
_cell_length_b 5.152
_cell_length_c 5.152
_cell_angle_alpha 90.00
_cell_angle_beta 90.00
_cell_angle_gamma 90.00
_symmetry_space_group_name_H-M 'P 1'
_symmetry_Int_Tables_number 1
loop_
_symmetry_equiv_pos_as_xyz
'x,y,z'
loop_
_atom_site_label
_atom_site_type_symbol
_atom_site_fract_x
_atom_site_fract_y
_atom_site_fract_z
_atom_site_occupancy
Hf1 Hf 0.000 0.500 0.000 1
Hf2 Hf 0.000 0.000 0.500 1
Hf3 Hf 0.500 0.000 0.000 1
Sn1 Sn 0.000 0.000 0.000 1
Zr1 Zr 0.500 0.500 0.500 1

***

Record 2
# SrHfTa2 (PBEsol, optimized geometry)
# **DFT total energy**: -8.305 eV per atom
# **Formation enthalpy at 0 K**: 1056 meV/atom
data_SrHfTa2
_cell_length_a 4.959
_cell_length_b 4.959
_cell_length_c 4.959
_cell_angle_alpha 60.00
_cell_angle_beta 60.00
_cell_angle_gamma 60.00
_symmetry_space_group_name_H-M 'P 1'
_symmetry_Int_Tables_number 1
loop_
_symmetry_equiv_pos_as_xyz
'x,y,z'
loop_
_atom_site_label
_atom_site_type_symbol
_atom_site_fract_x
_atom_site_fract_y
_atom_site_fract_z
_atom_site_occupancy
Sr1 Sr 0.000 0.000 0.000 1
Hf1 Hf 0.500 0.500 0.500 1
Ta1 Ta 0.250 0.250 0.250 1
Ta2 Ta 0.750 0.750 0.750 1

***

Record 3
# Sr3HfTe (PBEsol, optimized geometry)
# **DFT total energy**: -3.612 eV per atom
data_Sr3HfTe
_cell_length_a 6.089
_cell_length_b 6.089
_cell_length_c 6.089
_cell_angle_alpha 90.00
_cell_angle_beta 90.00
_cell_angle_gamma 90.00
_symmetry_space_group_name_H-M 'P 1'
_symmetry_Int_Tables_number 1
loop_
_symmetry_equiv_pos_as_xyz
'x,y,z'
loop_
_atom_site_label
_atom_site_type_symbol
_atom_site_fract_x
_atom_site_fract_y
_atom_site_fract_z
_atom_site_occupancy
Sr1 Sr 0.000 0.500 0.000 1
Sr2 Sr 0.000 0.000 0.500 1
Sr3 Sr 0.500 0.000 0.000 1
Te1 Te 0.000 0.000 0.000 1
Hf1 Hf 0.500 0.500 0.500 1